1.
## TiB2W (PBEsol)

Data for a relaxed structure of TiB2W. Values from VASP.

Geometry as Quantum ESPRESSO input:
```
&SYSTEM
  ibrav = 0, nat = 4, ntyp = 3
/
ATOMIC_SPECIES
Ti 47.87 Ti.upf
B 10.81 B.upf
W 183.84 W.upf
CELL_PARAMETERS angstrom
3.063 0.000 0.000
0.000 1.580 4.184
0.000 -1.580 4.184
ATOMIC_POSITIONS crystal
Ti 0.000 0.000 0.000
B 0.000 0.707 0.707
B 0.500 0.586 0.586
W 0.500 0.293 0.293
```

Calculated values
The calculation puts the density at 10.39 g/cm³. The value obtained for the formation energy is -19.6 kcal/mol of atoms. Its space group is Amm2, No. 38.



2.
## Mn2C (PBEsol)

Data for a relaxed structure of Mn2C. Values from VASP.

Geometry as Quantum ESPRESSO input:
```
&SYSTEM
  ibrav = 0, nat = 6, ntyp = 2
/
ATOMIC_SPECIES
Mn 54.94 Mn.upf
C 12.01 C.upf
CELL_PARAMETERS angstrom
4.306 -1.294 0.000
4.306 1.294 0.000
-3.070 0.000 4.550
ATOMIC_POSITIONS crystal
Mn 0.098 0.098 0.403
Mn 0.349 0.349 0.940
Mn 0.651 0.651 0.060
Mn 0.902 0.902 0.597
C 0.352 0.352 0.292
C 0.648 0.648 0.708
```

Calculated values
The calculation puts the density at 7.98 g/cm³. The value obtained for the formation energy is 0.4 kcal/mol of atoms. Its space group is C2/m, No. 12.



3.
## BaEr2ZnO5 (PBEsol)

Data for a relaxed structure of BaEr2ZnO5. Values from VASP.

Geometry as Quantum ESPRESSO input:
```
&SYSTEM
  ibrav = 0, nat = 36, ntyp = 4
/
ATOMIC_SPECIES
Ba 137.33 Ba.upf
Er 167.26 Er.upf
Zn 65.41 Zn.upf
O 16.00 O.upf
CELL_PARAMETERS angstrom
12.179 0.000 0.000
0.000 5.643 0.000
0.000 0.000 6.975
ATOMIC_POSITIONS crystal
Ba 0.101 0.250 0.078
Ba 0.399 0.750 0.578
Ba 0.601 0.250 0.422
Ba 0.899 0.750 0.922
Er 0.075 0.750 0.401
Er 0.208 0.250 0.621
Er 0.292 0.750 0.121
Er 0.425 0.250 0.901
Er 0.575 0.750 0.099
Er 0.708 0.250 0.879
Er 0.792 0.750 0.379
Er 0.925 0.250 0.599
Zn 0.151 0.750 0.809
Zn 0.349 0.250 0.309
Zn 0.651 0.750 0.691
Zn 0.849 0.250 0.191
O 0.065 0.501 0.664
O 0.065 0.999 0.664
O 0.102 0.750 0.078
O 0.224 0.501 0.361
O 0.224 0.999 0.361
O 0.276 0.001 0.861
O 0.276 0.499 0.861
O 0.398 0.250 0.578
O 0.435 0.001 0.164
O 0.435 0.499 0.164
O 0.565 0.501 0.836
O 0.565 0.999 0.836
O 0.602 0.750 0.422
O 0.724 0.501 0.139
O 0.724 0.999 0.139
O 0.776 0.001 0.639
O 0.776 0.499 0.639
O 0.898 0.250 0.922
O 0.935 0.001 0.336
O 0.935 0.499 0.336
```

Calculated values
The calculation puts the energy relative to the elements, uncorrected at -2.97 eV/atom. The calculation puts the density at 8.55 g/cm³. Its space group is Pnma, No. 62.



- What is the density in the second record?
  7.98 g/cm³



Repeat the first record exactly.
## TiB2W (PBEsol)

Data for a relaxed structure of TiB2W. Values from VASP.

Geometry as Quantum ESPRESSO input:
```
&SYSTEM
  ibrav = 0, nat = 4, ntyp = 3
/
ATOMIC_SPECIES
Ti 47.87 Ti.upf
B 10.81 B.upf
W 183.84 W.upf
CELL_PARAMETERS angstrom
3.063 0.000 0.000
0.000 1.580 4.184
0.000 -1.580 4.184
ATOMIC_POSITIONS crystal
Ti 0.000 0.000 0.000
B 0.000 0.707 0.707
B 0.500 0.586 0.586
W 0.500 0.293 0.293
```

Calculated values
The calculation puts the density at 10.39 g/cm³. The value obtained for the formation energy is -19.6 kcal/mol of atoms. Its space group is Amm2, No. 38.



- Among the records above, which one has the lowest density?
  Mn2C